Material: CrReP2
Method: DFT, GGA-PBE
State: optimized geometry

Output
DOS(E_F): 9.74 states/eV per cell
relative energy among the computed polymorphs: 176 meV per atom
E_tot: -33.63 eV/f.u.
total magnetic moment: 0.031 μB/atom

a b c (Å): 2.9602 2.9602 20.6105
angles (deg): 90.00 90.00 120.00
Last column: nearest neighbours and their distance in Å.
Space group R3m (No. 160, hexagonal axes)
Inequivalent atoms, fractional coordinates:
Cr (0.0000, 0.0000, 0.0000) (multiplicity 3)  6 P 2.30-2.47
Re (0.0000, 0.0000, 0.1575) (multiplicity 3)  6 P 2.42-2.51
P (0.0000, 0.0000, 0.4079) (multiplicity 3)  3 Cr 2.30, 3 Re 2.42
P (0.0000, 0.0000, 0.5804) (multiplicity 3)  3 Cr 2.47, 3 Re 2.51